DFT (PBE) results for Nd2TmGe2 after structural relaxation.

a b c (Å): 4.426 7.659 7.659
angles (deg): 90.00 90.00 90.00
Fractional coordinates of all 10 atoms:
Nd: 0.500 0.175 0.675
Nd: 0.500 0.675 0.825
Nd: 0.500 0.825 0.325
Nd: 0.500 0.325 0.175
Tm: 0.000 0.000 0.000
Tm: 0.000 0.500 0.500
Ge: 0.000 0.377 0.877
Ge: 0.000 0.877 0.623
Ge: 0.000 0.623 0.123
Ge: 0.000 0.123 0.377

Summary:
- V (Å³ per atom) = 25.960
- mass density (g cm⁻³) = 7.710
- ΔE to the lowest computed polymorph (eV/f.u.) = 0.00
- crystal system = tetragonal